1.
# Sc2NbOs | the Alexandria database | PBE | relaxed
data_Sc2NbOs
_space_group_name_H-M_alt 'F m -3 m'
_space_group_IT_number 225
_space_group_name_Hall '-F 4 2 3'
_cell_length_a 6.661
_cell_length_b 6.661
_cell_length_c 6.661
_cell_angle_alpha 90.00
_cell_angle_beta 90.00
_cell_angle_gamma 90.00
loop_
_atom_site_label
_atom_site_fract_x
_atom_site_fract_y
_atom_site_fract_z
Sc1 0.250 0.250 0.250
Nb1 0.000 0.000 0.000
Os1 0.000 0.000 0.500
# total moment	2.8	μB per formula unit
# formation energy from the elements	45	meV/atom

2.
# BePtSe | the Alexandria database | PBE | relaxed
data_BePtSe
_space_group_name_H-M_alt 'C 1 2/m 1'
_space_group_IT_number 12
_cell_length_a 8.726
_cell_length_b 6.754
_cell_length_c 3.825
_cell_angle_alpha 90.00
_cell_angle_beta 113.38
_cell_angle_gamma 90.00
loop_
_space_group_symop_operation_xyz
'x,y,z'
'-x,-y,-z'
'-x,y,-z'
'x,-y,z'
'x+1/2,y+1/2,z'
'-x+1/2,-y+1/2,-z'
'-x+1/2,y+1/2,-z'
'x+1/2,-y+1/2,z'
loop_
_atom_site_label
_atom_site_fract_x
_atom_site_fract_y
_atom_site_fract_z
Be1 0.000 0.237 0.000
Pt1 0.119 0.500 0.366
Se1 0.172 0.000 0.951
# total moment	0.0	μB per formula unit
# formation energy without anion corrections	-366	meV/atom

3.
# BaIn2GaSi | the Alexandria database | PBE | relaxed
data_BaIn2GaSi
_space_group_name_H-M_alt 'P 4/m m m'
_space_group_IT_number 123
_space_group_name_Hall '-P 4 2'
_cell_length_a 5.373
_cell_length_b 5.373
_cell_length_c 5.099
_cell_angle_alpha 90.00
_cell_angle_beta 90.00
_cell_angle_gamma 90.00
loop_
_atom_site_label
_atom_site_fract_x
_atom_site_fract_y
_atom_site_fract_z
Ba1 0.000 0.000 0.000
In1 0.000 0.500 0.500
Ga1 0.500 0.500 0.000
Si1 0.500 0.500 0.500
# total moment	0.0	μB per formula unit
# formation energy without anion corrections	17	meV/atom

4.
# Ca4Pa3SiN8 | the Alexandria database | PBE | relaxed
data_Ca4Pa3SiN8
_space_group_name_H-M_alt 'R -3 m'
_space_group_IT_number 166
_space_group_name_Hall '-R 3 2"'
_cell_length_a 7.0894
_cell_length_b 7.0894
_cell_length_c 16.8796
_cell_angle_alpha 90.00
_cell_angle_beta 90.00
_cell_angle_gamma 120.00
loop_
_atom_site_label
_atom_site_fract_x
_atom_site_fract_y
_atom_site_fract_z
Ca1 0.0000 0.0000 0.0000
Ca2 0.0000 0.5000 0.0000
Pa1 0.0000 0.5000 0.5000
Si1 0.0000 0.0000 0.5000
N1 0.0000 0.0000 0.2402
N2 0.0229 0.5114 0.7623
# total moment	0.0	μB per formula unit
# formation energy without anion corrections	-1168	meV/atom

5.
# Sc2AlZnSb | the Alexandria database | PBE | relaxed
data_Sc2AlZnSb
_space_group_name_H-M_alt 'P 4/m m m'
_space_group_IT_number 123
_space_group_name_Hall '-P 4 2'
_cell_length_a 5.174
_cell_length_b 5.174
_cell_length_c 5.133
_cell_angle_alpha 90.00
_cell_angle_beta 90.00
_cell_angle_gamma 90.00
loop_
_atom_site_label
_atom_site_fract_x
_atom_site_fract_y
_atom_site_fract_z
Sc1 0.000 0.500 0.000
Al1 0.000 0.000 0.000
Zn1 0.500 0.500 0.500
Sb1 0.000 0.000 0.500
# total moment	0.0	μB per formula unit
# formation energy without anion corrections	420	meV/atom